No. 1
The following is a PBE calculation of BaYSn2 after structural relaxation, from Alexandria.

Summary:
- Calculated density: 5.97 g cm⁻³
- Formation enthalpy at 0 K: -0.6402 eV per atom
- Volume: 32.3 Å³ per atom

Unit cell a=4.1190 b=4.1190 c=7.6033 alpha=90.00 beta=90.00 gamma=90.00
Closest atoms and distances in Å follow each position.
Sites, in units of the cell vectors:
Y (0.5000, 0.5000, 0.0000)  8 Sn 3.28
Sn (0.0000, 0.0000, 0.1976)  1 Sn 3.00, 4 Y 3.28
Sn (0.0000, 0.0000, 0.8024)  1 Sn 3.00, 4 Y 3.28
Ba (0.5000, 0.5000, 0.5000)  8 Sn 3.71, 2 Y 3.80, 4 Ba 4.12



No. 2
The following is a PBE calculation of TbMnFeSi3 after structural relaxation, from Alexandria.

Summary:
- Calculated density: 6.01 g cm⁻³
- E_form (uncorrected): -1.9 eV per formula unit
- Volume: 16.3 Å³ per atom

Unit cell a=6.0777 b=5.7920 c=6.2651 alpha=117.53 beta=90.00 gamma=90.00
Closest atoms and distances in Å follow each position.
Sites, in units of the cell vectors:
Si (0.2500, 0.2018, 0.4035)  1 Fe 2.11, 1 Mn 2.11
Si (0.5000, 0.7060, 0.0000)  2 Fe 2.28, 2 Mn 2.29, 1 Si 2.39
Si (0.0000, 0.2940, 0.0000)  2 Fe 2.28, 2 Mn 2.29, 1 Si 2.39
Si (0.7500, 0.7982, 0.5965)  1 Fe 2.11, 1 Mn 2.11
Si (0.5000, 0.2940, 0.0000)  2 Fe 2.28, 2 Mn 2.29, 1 Si 2.39
Si (0.0000, 0.7060, 0.0000)  2 Fe 2.28, 2 Mn 2.29, 1 Si 2.39
Mn (0.2500, 0.0120, 0.0240)  5 Si 2.11-2.29
Mn (0.7500, 0.9880, 0.9760)  5 Si 2.11-2.29
Tb (0.7500, 0.2618, 0.5236)  4 Si 2.92-3.11, 1 Mn 3.04
Tb (0.2500, 0.7382, 0.4764)  4 Si 2.92-3.11, 1 Mn 3.04
Fe (0.7500, 0.6086, 0.2171)  5 Si 2.11-2.28
Fe (0.2500, 0.3914, 0.7829)  5 Si 2.11-2.28



No. 3
The following is a PBE calculation of La2FeMo after structural relaxation, from Alexandria.

Summary:
- Calculated density: 7.58 g cm⁻³
- Formation enthalpy at 0 K: 0.7208 eV per atom
- Volume: 23.5 Å³ per atom

Unit cell a=8.9348 b=8.9348 c=8.9348 alpha=22.82 beta=22.82 gamma=22.82
Closest atoms and distances in Å follow each position.
Sites, in units of the cell vectors:
Fe (0.7500, 0.7500, 0.7500)  6 La 2.94
Mo (0.2500, 0.2500, 0.2500)  6 La 3.03
La (0.0024, 0.0024, 0.0024)  3 Fe 2.94, 3 Mo 3.03
La (0.4976, 0.4976, 0.4976)  3 Fe 2.94, 3 Mo 3.03



No. 4
The following is a PBE calculation of SmTmPa2N4 after structural relaxation, from Alexandria.

Summary:
- Calculated density: 11.47 g cm⁻³
- E_form (uncorrected): -13.1 eV per formula unit
- Volume: 15.1 Å³ per atom

Unit cell a=3.4945 b=6.0754 c=6.0556 alpha=109.50 beta=90.00 gamma=90.00
Closest atoms and distances in Å follow each position.
Sites, in units of the cell vectors:
Pa (0.5000, 0.0000, 0.5000)  6 N 2.39-2.40
Pa (0.0000, 0.5000, 0.5000)  6 N 2.47-2.48
Sm (0.5000, 0.5000, 0.0000)  6 N 2.56
N (0.5000, 0.2436, 0.2599)  3 Pa 2.40-2.47, 2 Tm 2.48, 1 Sm 2.56
N (0.0000, 0.2336, 0.7328)  3 Pa 2.39-2.48, 1 Tm 2.48, 2 Sm 2.56
N (0.0000, 0.7664, 0.2672)  3 Pa 2.39-2.48, 1 Tm 2.48, 2 Sm 2.56
N (0.5000, 0.7564, 0.7401)  3 Pa 2.40-2.47, 2 Tm 2.48, 1 Sm 2.56
Tm (0.0000, 0.0000, 0.0000)  6 N 2.48